Record 1
# meta-GGA SCAN Fe2CoSe4, single point on PBEsol structure
# - crystal system = monoclinic
# - electronic total energy (eV for the cell shown) = -271.03
# - Fermi-level density of states (states/eV/atom) = 0.474
data_Fe2CoSe4
_cell_length_a 11.737
_cell_length_b 3.466
_cell_length_c 5.905
_cell_angle_alpha 90.00
_cell_angle_beta 117.51
_cell_angle_gamma 90.00
_symmetry_space_group_name_H-M 'C 1 2/m 1'
_symmetry_Int_Tables_number 12
_symmetry_space_group_name_Hall '-C 2y'
loop_
_atom_site_label
_atom_site_type_symbol
_atom_site_fract_x
_atom_site_fract_y
_atom_site_fract_z
Fe1 Fe 0.239 0.000 0.195
Co1 Co 0.000 0.500 0.500
Se1 Se 0.109 0.500 0.950
Se2 Se 0.138 0.000 0.482

Record 2
# meta-GGA SCAN CoHI2, single point on PBEsol structure
# - crystal system = tetragonal
# - electronic total energy (eV for the cell shown) = -370.15
# - Fermi-level density of states (states/eV/atom) = 0.238
data_CoHI2
_cell_length_a 5.601
_cell_length_b 5.601
_cell_length_c 11.065
_cell_angle_alpha 90.00
_cell_angle_beta 90.00
_cell_angle_gamma 90.00
_symmetry_space_group_name_H-M 'I -4 2 d'
_symmetry_Int_Tables_number 122
_symmetry_space_group_name_Hall 'I -4 2bw'
loop_
_atom_site_label
_atom_site_type_symbol
_atom_site_fract_x
_atom_site_fract_y
_atom_site_fract_z
Co1 Co 0.000 0.000 0.000
H1 H 0.000 0.000 0.500
I1 I 0.229 0.250 0.625

Record 3
# meta-GGA SCAN CaMnTlFe2, single point on PBEsol structure
# - crystal system = tetragonal
# - E_form (eV/atom) = 0.798
# - Fermi-level density of states (states/eV/atom) = 0.836
data_CaMnTlFe2
_cell_length_a 4.912
_cell_length_b 4.912
_cell_length_c 5.002
_cell_angle_alpha 90.00
_cell_angle_beta 90.00
_cell_angle_gamma 90.00
_symmetry_space_group_name_H-M 'P 4/m m m'
_symmetry_Int_Tables_number 123
_symmetry_space_group_name_Hall '-P 4 2'
loop_
_atom_site_label
_atom_site_type_symbol
_atom_site_fract_x
_atom_site_fract_y
_atom_site_fract_z
Ca1 Ca 0.000 0.000 0.000
Mn1 Mn 0.500 0.500 0.000
Tl1 Tl 0.500 0.500 0.500
Fe1 Fe 0.000 0.500 0.500

Record 4
# meta-GGA SCAN YBeHg2, single point on PBEsol structure
# - crystal system = orthorhombic
# - E_form (eV/atom) = -0.163
# - Fermi-level density of states (states/eV/atom) = 0.377
data_YBeHg2
_cell_length_a 4.230
_cell_length_b 3.513
_cell_length_c 10.879
_cell_angle_alpha 90.00
_cell_angle_beta 90.00
_cell_angle_gamma 90.00
_symmetry_space_group_name_H-M 'A m m 2'
_symmetry_Int_Tables_number 38
_symmetry_space_group_name_Hall 'A 2 -2'
loop_
_atom_site_label
_atom_site_type_symbol
_atom_site_fract_x
_atom_site_fract_y
_atom_site_fract_z
Y1 Y 0.000 0.000 0.000
Be1 Be 0.500 0.000 0.393
Hg1 Hg 0.000 0.000 0.278
Hg2 Hg 0.500 0.000 0.650

Record 5
# meta-GGA SCAN Sr2ScIr, single point on PBEsol structure
# - crystal system = tetragonal
# - E_form (eV/atom) = 0.274
# - Fermi-level density of states (states/eV/atom) = 1.001
data_Sr2ScIr
_cell_length_a 4.300
_cell_length_b 4.300
_cell_length_c 10.492
_cell_angle_alpha 90.00
_cell_angle_beta 90.00
_cell_angle_gamma 90.00
_symmetry_space_group_name_H-M 'I 4/m m m'
_symmetry_Int_Tables_number 139
_symmetry_space_group_name_Hall '-I 4 2'
loop_
_atom_site_label
_atom_site_type_symbol
_atom_site_fract_x
_atom_site_fract_y
_atom_site_fract_z
Sr1 Sr 0.000 0.500 0.250
Sc1 Sc 0.000 0.000 0.000
Ir1 Ir 0.000 0.000 0.500

Record 6
# meta-GGA SCAN La2RhCl, single point on PBEsol structure
# - crystal system = cubic
# - electronic total energy (eV for the cell shown) = -518.06
# - Fermi-level density of states (states/eV/atom) = 0.587
data_La2RhCl
_cell_length_a 7.032
_cell_length_b 7.032
_cell_length_c 7.032
_cell_angle_alpha 90.00
_cell_angle_beta 90.00
_cell_angle_gamma 90.00
_symmetry_space_group_name_H-M 'F -4 3 m'
_symmetry_Int_Tables_number 216
_symmetry_space_group_name_Hall 'F -4 2 3'
loop_
_atom_site_label
_atom_site_type_symbol
_atom_site_fract_x
_atom_site_fract_y
_atom_site_fract_z
La1 La 0.000 0.000 0.000
La2 La 0.250 0.250 0.250
Rh1 Rh 0.000 0.000 0.500
Cl1 Cl 0.250 0.250 0.750

Record 7
# meta-GGA SCAN BaCa2Tl, single point on PBEsol structure
# - crystal system = orthorhombic
# - E_form (eV/atom) = -0.323
# - Fermi-level density of states (states/eV/atom) = 0.757
data_BaCa2Tl
_cell_length_a 4.009
_cell_length_b 6.151
_cell_length_c 12.401
_cell_angle_alpha 90.00
_cell_angle_beta 90.00
_cell_angle_gamma 90.00
_symmetry_space_group_name_H-M 'I m m m'
_symmetry_Int_Tables_number 71
_symmetry_space_group_name_Hall '-I 2 2'
loop_
_atom_site_label
_atom_site_type_symbol
_atom_site_fract_x
_atom_site_fract_y
_atom_site_fract_z
Ba1 Ba 0.000 0.000 0.000
Ca1 Ca 0.000 0.500 0.203
Tl1 Tl 0.000 0.000 0.500

Record 8
# meta-GGA SCAN Zn5Ag, single point on PBEsol structure
# - crystal system = orthorhombic
# - E_form (eV/atom) = -0.019
# - Fermi-level density of states (states/eV/atom) = 0.186
data_Zn5Ag
_cell_length_a 4.382
_cell_length_b 2.759
_cell_length_c 14.224
_cell_angle_alpha 90.00
_cell_angle_beta 90.00
_cell_angle_gamma 90.00
_symmetry_space_group_name_H-M 'A m m 2'
_symmetry_Int_Tables_number 38
_symmetry_space_group_name_Hall 'A 2 -2'
loop_
_atom_site_label
_atom_site_type_symbol
_atom_site_fract_x
_atom_site_fract_y
_atom_site_fract_z
Zn1 Zn 0.000 0.000 0.000
Zn2 Zn 0.000 0.000 0.328
Zn3 Zn 0.000 0.000 0.664
Zn4 Zn 0.500 0.000 0.110
Zn5 Zn 0.500 0.000 0.773
Ag1 Ag 0.500 0.000 0.441

Record 9
# meta-GGA SCAN RbGe2Sb2, single point on PBEsol structure
# - crystal system = tetragonal
# - electronic total energy (eV for the cell shown) = -267.80
# - Fermi-level density of states (states/eV/atom) = 0.323
data_RbGe2Sb2
_cell_length_a 4.942
_cell_length_b 4.942
_cell_length_c 12.877
_cell_angle_alpha 90.00
_cell_angle_beta 90.00
_cell_angle_gamma 90.00
_symmetry_space_group_name_H-M 'I 4/m m m'
_symmetry_Int_Tables_number 139
_symmetry_space_group_name_Hall '-I 4 2'
loop_
_atom_site_label
_atom_site_type_symbol
_atom_site_fract_x
_atom_site_fract_y
_atom_site_fract_z
Rb1 Rb 0.000 0.000 0.000
Ge1 Ge 0.000 0.500 0.250
Sb1 Sb 0.000 0.000 0.350

Record 10
# meta-GGA SCAN KInAu4, single point on PBEsol structure
# - crystal system = cubic
# - E_form (eV/atom) = -0.209
# - Fermi-level density of states (states/eV/atom) = 0.478
data_KInAu4
_cell_length_a 7.893
_cell_length_b 7.893
_cell_length_c 7.893
_cell_angle_alpha 90.00
_cell_angle_beta 90.00
_cell_angle_gamma 90.00
_symmetry_space_group_name_H-M 'F -4 3 m'
_symmetry_Int_Tables_number 216
_symmetry_space_group_name_Hall 'F -4 2 3'
loop_
_atom_site_label
_atom_site_type_symbol
_atom_site_fract_x
_atom_site_fract_y
_atom_site_fract_z
K1 K 0.000 0.000 0.000
In1 In 0.250 0.250 0.750
Au1 Au 0.125 0.125 0.375

Record 11
# meta-GGA SCAN Tl2ZnP4H8O16, single point on PBEsol structure
# - crystal system = triclinic
# - electronic total energy (eV for the cell shown) = -381.49
# - Fermi-level density of states (states/eV/atom) = 0.000
data_Tl2ZnP4H8O16
_cell_length_a 6.969
_cell_length_b 7.408
_cell_length_c 7.541
_cell_angle_alpha 80.56
_cell_angle_beta 73.43
_cell_angle_gamma 86.54
_symmetry_space_group_name_H-M 'P -1'
_symmetry_Int_Tables_number 2
_symmetry_space_group_name_Hall '-P 1'
loop_
_atom_site_label
_atom_site_type_symbol
_atom_site_fract_x
_atom_site_fract_y
_atom_site_fract_z
Tl1 Tl 0.121 0.227 0.307
Zn1 Zn 0.500 0.000 0.500
P1 P 0.255 0.300 0.760
P2 P 0.330 0.765 0.239
H1 H 0.065 0.768 0.075
H2 H 0.261 0.537 0.484
H3 H 0.376 0.811 0.853
H4 H 0.390 0.673 0.705
O1 O 0.073 0.283 0.936
O2 O 0.244 0.575 0.341
O3 O 0.246 0.829 0.073
O4 O 0.259 0.160 0.634
O5 O 0.279 0.498 0.658
O6 O 0.303 0.898 0.378
O7 O 0.434 0.262 0.859
O8 O 0.452 0.785 0.725

Record 12
# meta-GGA SCAN Be3AgH, single point on PBEsol structure
# - crystal system = cubic
# - electronic total energy (eV for the cell shown) = -46.83
# - Fermi-level density of states (states/eV/atom) = 0.049
data_Be3AgH
_cell_length_a 3.507
_cell_length_b 3.507
_cell_length_c 3.507
_cell_angle_alpha 90.00
_cell_angle_beta 90.00
_cell_angle_gamma 90.00
_symmetry_space_group_name_H-M 'P m -3 m'
_symmetry_Int_Tables_number 221
_symmetry_space_group_name_Hall '-P 4 2 3'
loop_
_atom_site_label
_atom_site_type_symbol
_atom_site_fract_x
_atom_site_fract_y
_atom_site_fract_z
Be1 Be 0.000 0.000 0.500
Ag1 Ag 0.500 0.500 0.500
H1 H 0.000 0.000 0.000

Record 13
# meta-GGA SCAN Be2AlBiRh, single point on PBEsol structure
# - crystal system = tetragonal
# - E_form (eV/atom) = 0.439
# - Fermi-level density of states (states/eV/atom) = 0.332
data_Be2AlBiRh
_cell_length_a 4.272
_cell_length_b 4.272
_cell_length_c 5.233
_cell_angle_alpha 90.00
_cell_angle_beta 90.00
_cell_angle_gamma 90.00
_symmetry_space_group_name_H-M 'P 4/m m m'
_symmetry_Int_Tables_number 123
_symmetry_space_group_name_Hall '-P 4 2'
loop_
_atom_site_label
_atom_site_type_symbol
_atom_site_fract_x
_atom_site_fract_y
_atom_site_fract_z
Be1 Be 0.000 0.500 0.000
Al1 Al 0.000 0.000 0.500
Bi1 Bi 0.500 0.500 0.500
Rh1 Rh 0.500 0.500 0.000

Record 14
# meta-GGA SCAN BiCI2O, single point on PBEsol structure
# - crystal system = tetragonal
# - electronic total energy (eV for the cell shown) = -161.81
# - Fermi-level density of states (states/eV/atom) = 0.686
data_BiCI2O
_cell_length_a 6.067
_cell_length_b 6.067
_cell_length_c 4.202
_cell_angle_alpha 90.00
_cell_angle_beta 90.00
_cell_angle_gamma 90.00
_symmetry_space_group_name_H-M 'P 4/m m m'
_symmetry_Int_Tables_number 123
_symmetry_space_group_name_Hall '-P 4 2'
loop_
_atom_site_label
_atom_site_type_symbol
_atom_site_fract_x
_atom_site_fract_y
_atom_site_fract_z
Bi1 Bi 0.000 0.000 0.000
C1 C 0.500 0.500 0.500
I1 I 0.000 0.500 0.000
O1 O 0.000 0.000 0.500